Entry 1:
Entry from Alexandria via LeMat-Bulk: a geometry-optimized KAgCl2 structure (PBEsol).

The space group is Immm (No. 71) and the conventional cell measures 4.088, 6.114 and 7.780 Å, with angles of 90.00, 90.00 and 90.00 degrees. The distinct sites, in fractional coordinates, are K at (0.000, 0.000, 0.000), Ag at (0.000, 0.000, 0.500) and Cl at (0.000, 0.500, 0.211).

As for the formation energy from raw total energies: -1072 meV per atom. The density of states at the Fermi level is 0.000 states/eV/atom. The energy comes out at -3.187 eV per atom. The value obtained for the total magnetization is 0.00 μB per cell.

=====

Entry 2:
Entry from Alexandria via LeMat-Bulk: a geometry-optimized FeTeOsN2 structure (PBEsol).

The space group is P4/mmm (No. 123) and the conventional cell measures 3.612, 3.612 and 5.397 Å, with angles of 90.00, 90.00 and 90.00 degrees. The distinct sites, in fractional coordinates, are Fe at (0.000, 0.000, 0.000), Te at (0.000, 0.000, 0.500), Os at (0.500, 0.500, 0.500) and N at (0.000, 0.500, 0.000).

As for the formation energy from raw total energies: 1395 meV per atom. The density of states at the Fermi level is 0.968 states/eV/atom. The energy comes out at -6.957 eV per atom. The value obtained for the total magnetization is 0.00 μB per cell. The energy above the most stable polymorph in this dataset comes out at 565 meV/atom.

=====

Entry 3:
Entry from Alexandria via LeMat-Bulk: a geometry-optimized MnZn2Au structure (PBEsol).

The space group is C2/m (No. 12) and the conventional cell measures 8.734, 2.813 and 4.803 Å, with angles of 90.00, 99.73 and 90.00 degrees. The distinct sites, in fractional coordinates, are Mn at (0.000, 0.000, 0.000), Zn at (0.248, 0.500, 0.241) and Au at (0.000, 0.500, 0.500).

The density of states at the Fermi level is 0.515 states/eV/atom. The energy comes out at -4.204 eV per atom. The value obtained for the total magnetization is 7.10 μB per cell. The value obtained for the formation enthalpy at 0 K is 0.0087 eV per atom.

=====

> Look up the energy of the first one.

-3.187 eV per atom

=====

Please write out number 2 again, unchanged.
Entry from Alexandria via LeMat-Bulk: a geometry-optimized FeTeOsN2 structure (PBEsol).

The space group is P4/mmm (No. 123) and the conventional cell measures 3.612, 3.612 and 5.397 Å, with angles of 90.00, 90.00 and 90.00 degrees. The distinct sites, in fractional coordinates, are Fe at (0.000, 0.000, 0.000), Te at (0.000, 0.000, 0.500), Os at (0.500, 0.500, 0.500) and N at (0.000, 0.500, 0.000).

As for the formation energy from raw total energies: 1395 meV per atom. The density of states at the Fermi level is 0.968 states/eV/atom. The energy comes out at -6.957 eV per atom. The value obtained for the total magnetization is 0.00 μB per cell. The energy above the most stable polymorph in this dataset comes out at 565 meV/atom.

=====

Please write out number 1 again, unchanged.
Entry from Alexandria via LeMat-Bulk: a geometry-optimized KAgCl2 structure (PBEsol).

The space group is Immm (No. 71) and the conventional cell measures 4.088, 6.114 and 7.780 Å, with angles of 90.00, 90.00 and 90.00 degrees. The distinct sites, in fractional coordinates, are K at (0.000, 0.000, 0.000), Ag at (0.000, 0.000, 0.500) and Cl at (0.000, 0.500, 0.211).

As for the formation energy from raw total energies: -1072 meV per atom. The density of states at the Fermi level is 0.000 states/eV/atom. The energy comes out at -3.187 eV per atom. The value obtained for the total magnetization is 0.00 μB per cell.